Below is a relaxed Cu2Au2Cl crystal, with properties calculated at the PBE level.

Properties
- E_form (uncorrected) (meV/atom) = 136
- space group = P4/mbm (127)

Cell: 7.2436 7.2436 3.2542 Å, 90.00 90.00 90.00°
Atoms (fractional coordinates):
Cu: 0.1541 0.3459 0.0000
Cu: 0.3459 0.8459 0.0000
Cu: 0.6541 0.1541 0.0000
Cu: 0.8459 0.6541 0.0000
Au: 0.1393 0.6393 0.5000
Au: 0.3607 0.1393 0.5000
Au: 0.6393 0.8607 0.5000
Au: 0.8607 0.3607 0.5000
Cl: 0.0000 0.0000 0.0000
Cl: 0.5000 0.5000 0.0000

Below is a relaxed Cu5Au3Cl12 crystal, with properties calculated at the PBE level.

Properties
- E_form (uncorrected) (meV/atom) = -266
- space group = Ia-3d (230)

Cell: 13.3785 13.3785 13.3785 Å, 109.47 109.47 109.47°
Atoms (fractional coordinates):
Cu: 0.0000 0.0000 0.0000
Cu: 0.0000 0.0000 0.5000
Cu: 0.0000 0.5000 0.0000
Cu: 0.0000 0.5000 0.5000
Cu: 0.1250 0.7500 0.8750
Cu: 0.1250 0.8750 0.2500
Cu: 0.2500 0.1250 0.8750
Cu: 0.2500 0.6250 0.3750
Cu: 0.3750 0.2500 0.6250
Cu: 0.3750 0.6250 0.7500
Cu: 0.5000 0.0000 0.0000
Cu: 0.5000 0.0000 0.5000
Cu: 0.5000 0.5000 0.0000
Cu: 0.5000 0.5000 0.5000
Cu: 0.6250 0.3750 0.2500
Cu: 0.6250 0.7500 0.3750
Cu: 0.7500 0.3750 0.6250
Cu: 0.7500 0.8750 0.1250
Cu: 0.8750 0.1250 0.7500
Cu: 0.8750 0.2500 0.1250
Au: 0.1250 0.2500 0.3750
Au: 0.1250 0.3750 0.7500
Au: 0.2500 0.3750 0.1250
Au: 0.2500 0.8750 0.6250
Au: 0.3750 0.1250 0.2500
Au: 0.3750 0.7500 0.1250
Au: 0.6250 0.2500 0.8750
Au: 0.6250 0.8750 0.7500
Au: 0.7500 0.1250 0.3750
Au: 0.7500 0.6250 0.8750
Au: 0.8750 0.6250 0.2500
Au: 0.8750 0.7500 0.6250
Cl: 0.0089 0.1770 0.1383
Cl: 0.0089 0.3320 0.8707
Cl: 0.0387 0.6770 0.6680
Cl: 0.0387 0.8617 0.3707
Cl: 0.1293 0.6383 0.4613
Cl: 0.1293 0.9911 0.6680
Cl: 0.1383 0.0089 0.1770
Cl: 0.1383 0.6293 0.9613
Cl: 0.1680 0.1770 0.5387
Cl: 0.1680 0.4911 0.6293
Cl: 0.1770 0.1383 0.0089
Cl: 0.1770 0.5387 0.1680
Cl: 0.3230 0.3320 0.9613
Cl: 0.3230 0.4911 0.3617
Cl: 0.3320 0.8707 0.0089
Cl: 0.3320 0.9613 0.3230
Cl: 0.3617 0.3230 0.4911
Cl: 0.3617 0.5387 0.8707
Cl: 0.3707 0.0387 0.8617
Cl: 0.3707 0.8320 0.5089
Cl: 0.4613 0.1293 0.6383
Cl: 0.4613 0.8320 0.8230
Cl: 0.4911 0.3617 0.3230
Cl: 0.4911 0.6293 0.1680
Cl: 0.5089 0.3707 0.8320
Cl: 0.5089 0.6383 0.6770
Cl: 0.5387 0.1680 0.1770
Cl: 0.5387 0.8707 0.3617
Cl: 0.6293 0.1680 0.4911
Cl: 0.6293 0.9613 0.1383
Cl: 0.6383 0.4613 0.1293
Cl: 0.6383 0.6770 0.5089
Cl: 0.6680 0.0387 0.6770
Cl: 0.6680 0.1293 0.9911
Cl: 0.6770 0.5089 0.6383
Cl: 0.6770 0.6680 0.0387
Cl: 0.8230 0.4613 0.8320
Cl: 0.8230 0.8617 0.9911
Cl: 0.8320 0.5089 0.3707
Cl: 0.8320 0.8230 0.4613
Cl: 0.8617 0.3707 0.0387
Cl: 0.8617 0.9911 0.8230
Cl: 0.8707 0.0089 0.3320
Cl: 0.8707 0.3617 0.5387
Cl: 0.9613 0.1383 0.6293
Cl: 0.9613 0.3230 0.3320
Cl: 0.9911 0.6680 0.1293
Cl: 0.9911 0.8230 0.8617

Below is a relaxed CuAu3Cl6 crystal, with properties calculated at the PBE level.

Properties
- E_form (uncorrected) (meV/atom) = 158
- space group = R-3 (148)

Cell: 10.2544 10.2544 10.2544 Å, 116.16 116.16 116.16°
Atoms (fractional coordinates):
Cu: 0.0000 0.0000 0.0000
Cu: 0.5000 0.5000 0.5000
Au: 0.1488 0.3855 0.2821
Au: 0.2821 0.1488 0.3855
Au: 0.3855 0.2821 0.1488
Au: 0.6145 0.7179 0.8512
Au: 0.7179 0.8512 0.6145
Au: 0.8512 0.6145 0.7179
Cl: 0.0322 0.2699 0.8927
Cl: 0.1073 0.9678 0.7301
Cl: 0.2473 0.7018 0.5278
Cl: 0.2699 0.8927 0.0322
Cl: 0.2982 0.4722 0.7527
Cl: 0.4722 0.7527 0.2982
Cl: 0.5278 0.2473 0.7018
Cl: 0.7018 0.5278 0.2473
Cl: 0.7301 0.1073 0.9678
Cl: 0.7527 0.2982 0.4722
Cl: 0.8927 0.0322 0.2699
Cl: 0.9678 0.7301 0.1073

Below is a relaxed CuAuCl4 crystal, with properties calculated at the PBE level.

Properties
- E_form (uncorrected) (meV/atom) = 902
- space group = F-43m (216)

Cell: 5.8034 5.8034 5.8034 Å, 60.00 60.00 60.00°
Atoms (fractional coordinates):
Cu: 0.0000 0.0000 0.0000
Au: 0.7500 0.7500 0.7500
Cl: 0.3750 0.3750 0.3750
Cl: 0.3750 0.3750 0.8750
Cl: 0.3750 0.8750 0.3750
Cl: 0.8750 0.3750 0.3750

Below is a relaxed CuAu2Cl8 crystal, with properties calculated at the PBE level.

Properties
- E_form (uncorrected) (meV/atom) = -208
- space group = C2/m (12)

Cell: 7.4301 7.4301 6.9063 Å, 105.82 105.82 88.53°
Atoms (fractional coordinates):
Cu: 0.0000 0.0000 0.0000
Au: 0.3237 0.3237 0.4549
Au: 0.6763 0.6763 0.5451
Cl: 0.0117 0.7049 0.8104
Cl: 0.2115 0.2115 0.6786
Cl: 0.2951 0.9883 0.1896
Cl: 0.4590 0.4590 0.2502
Cl: 0.5410 0.5410 0.7498
Cl: 0.7049 0.0117 0.8104
Cl: 0.7885 0.7885 0.3214
Cl: 0.9883 0.2951 0.1896

Below is a relaxed Cu3Au5Cl12 crystal, with properties calculated at the PBE level.

Properties
- E_form (uncorrected) (meV/atom) = -160
- space group = Ia-3d (230)

Cell: 13.7635 13.7635 13.7635 Å, 109.47 109.47 109.47°
Atoms (fractional coordinates):
Cu: 0.1250 0.2500 0.3750
Cu: 0.1250 0.3750 0.7500
Cu: 0.2500 0.3750 0.1250
Cu: 0.2500 0.8750 0.6250
Cu: 0.3750 0.1250 0.2500
Cu: 0.3750 0.7500 0.1250
Cu: 0.6250 0.2500 0.8750
Cu: 0.6250 0.8750 0.7500
Cu: 0.7500 0.1250 0.3750
Cu: 0.7500 0.6250 0.8750
Cu: 0.8750 0.6250 0.2500
Cu: 0.8750 0.7500 0.6250
Au: 0.0000 0.0000 0.0000
Au: 0.0000 0.0000 0.5000
Au: 0.0000 0.5000 0.0000
Au: 0.0000 0.5000 0.5000
Au: 0.1250 0.7500 0.8750
Au: 0.1250 0.8750 0.2500
Au: 0.2500 0.1250 0.8750
Au: 0.2500 0.6250 0.3750
Au: 0.3750 0.2500 0.6250
Au: 0.3750 0.6250 0.7500
Au: 0.5000 0.0000 0.0000
Au: 0.5000 0.0000 0.5000
Au: 0.5000 0.5000 0.0000
Au: 0.5000 0.5000 0.5000
Au: 0.6250 0.3750 0.2500
Au: 0.6250 0.7500 0.3750
Au: 0.7500 0.3750 0.6250
Au: 0.7500 0.8750 0.1250
Au: 0.8750 0.1250 0.7500
Au: 0.8750 0.2500 0.1250
Cl: 0.0086 0.6413 0.1836
Cl: 0.0086 0.8672 0.8249
Cl: 0.0423 0.1751 0.6836
Cl: 0.0423 0.3672 0.3587
Cl: 0.1328 0.1751 0.9914
Cl: 0.1328 0.4577 0.1413
Cl: 0.1413 0.1328 0.4577
Cl: 0.1413 0.5086 0.6836
Cl: 0.1751 0.6836 0.0423
Cl: 0.1751 0.9914 0.1328
Cl: 0.1836 0.0086 0.6413
Cl: 0.1836 0.6751 0.5423
Cl: 0.3164 0.8587 0.4914
Cl: 0.3164 0.9577 0.8249
Cl: 0.3249 0.3672 0.5086
Cl: 0.3249 0.4577 0.8164
Cl: 0.3587 0.0423 0.3672
Cl: 0.3587 0.8164 0.9914
Cl: 0.3672 0.3587 0.0423
Cl: 0.3672 0.5086 0.3249
Cl: 0.4577 0.1413 0.1328
Cl: 0.4577 0.8164 0.3249
Cl: 0.4914 0.3164 0.8587
Cl: 0.4914 0.6751 0.6328
Cl: 0.5086 0.3249 0.3672
Cl: 0.5086 0.6836 0.1413
Cl: 0.5423 0.1836 0.6751
Cl: 0.5423 0.8587 0.8672
Cl: 0.6328 0.4914 0.6751
Cl: 0.6328 0.6413 0.9577
Cl: 0.6413 0.1836 0.0086
Cl: 0.6413 0.9577 0.6328
Cl: 0.6751 0.5423 0.1836
Cl: 0.6751 0.6328 0.4914
Cl: 0.6836 0.0423 0.1751
Cl: 0.6836 0.1413 0.5086
Cl: 0.8164 0.3249 0.4577
Cl: 0.8164 0.9914 0.3587
Cl: 0.8249 0.0086 0.8672
Cl: 0.8249 0.3164 0.9577
Cl: 0.8587 0.4914 0.3164
Cl: 0.8587 0.8672 0.5423
Cl: 0.8672 0.5423 0.8587
Cl: 0.8672 0.8249 0.0086
Cl: 0.9577 0.6328 0.6413
Cl: 0.9577 0.8249 0.3164
Cl: 0.9914 0.1328 0.1751
Cl: 0.9914 0.3587 0.8164

What did the second record say?
Below is a relaxed Cu5Au3Cl12 crystal, with properties calculated at the PBE level.

Properties
- E_form (uncorrected) (meV/atom) = -266
- space group = Ia-3d (230)

Cell: 13.3785 13.3785 13.3785 Å, 109.47 109.47 109.47°
Atoms (fractional coordinates):
Cu: 0.0000 0.0000 0.0000
Cu: 0.0000 0.0000 0.5000
Cu: 0.0000 0.5000 0.0000
Cu: 0.0000 0.5000 0.5000
Cu: 0.1250 0.7500 0.8750
Cu: 0.1250 0.8750 0.2500
Cu: 0.2500 0.1250 0.8750
Cu: 0.2500 0.6250 0.3750
Cu: 0.3750 0.2500 0.6250
Cu: 0.3750 0.6250 0.7500
Cu: 0.5000 0.0000 0.0000
Cu: 0.5000 0.0000 0.5000
Cu: 0.5000 0.5000 0.0000
Cu: 0.5000 0.5000 0.5000
Cu: 0.6250 0.3750 0.2500
Cu: 0.6250 0.7500 0.3750
Cu: 0.7500 0.3750 0.6250
Cu: 0.7500 0.8750 0.1250
Cu: 0.8750 0.1250 0.7500
Cu: 0.8750 0.2500 0.1250
Au: 0.1250 0.2500 0.3750
Au: 0.1250 0.3750 0.7500
Au: 0.2500 0.3750 0.1250
Au: 0.2500 0.8750 0.6250
Au: 0.3750 0.1250 0.2500
Au: 0.3750 0.7500 0.1250
Au: 0.6250 0.2500 0.8750
Au: 0.6250 0.8750 0.7500
Au: 0.7500 0.1250 0.3750
Au: 0.7500 0.6250 0.8750
Au: 0.8750 0.6250 0.2500
Au: 0.8750 0.7500 0.6250
Cl: 0.0089 0.1770 0.1383
Cl: 0.0089 0.3320 0.8707
Cl: 0.0387 0.6770 0.6680
Cl: 0.0387 0.8617 0.3707
Cl: 0.1293 0.6383 0.4613
Cl: 0.1293 0.9911 0.6680
Cl: 0.1383 0.0089 0.1770
Cl: 0.1383 0.6293 0.9613
Cl: 0.1680 0.1770 0.5387
Cl: 0.1680 0.4911 0.6293
Cl: 0.1770 0.1383 0.0089
Cl: 0.1770 0.5387 0.1680
Cl: 0.3230 0.3320 0.9613
Cl: 0.3230 0.4911 0.3617
Cl: 0.3320 0.8707 0.0089
Cl: 0.3320 0.9613 0.3230
Cl: 0.3617 0.3230 0.4911
Cl: 0.3617 0.5387 0.8707
Cl: 0.3707 0.0387 0.8617
Cl: 0.3707 0.8320 0.5089
Cl: 0.4613 0.1293 0.6383
Cl: 0.4613 0.8320 0.8230
Cl: 0.4911 0.3617 0.3230
Cl: 0.4911 0.6293 0.1680
Cl: 0.5089 0.3707 0.8320
Cl: 0.5089 0.6383 0.6770
Cl: 0.5387 0.1680 0.1770
Cl: 0.5387 0.8707 0.3617
Cl: 0.6293 0.1680 0.4911
Cl: 0.6293 0.9613 0.1383
Cl: 0.6383 0.4613 0.1293
Cl: 0.6383 0.6770 0.5089
Cl: 0.6680 0.0387 0.6770
Cl: 0.6680 0.1293 0.9911
Cl: 0.6770 0.5089 0.6383
Cl: 0.6770 0.6680 0.0387
Cl: 0.8230 0.4613 0.8320
Cl: 0.8230 0.8617 0.9911
Cl: 0.8320 0.5089 0.3707
Cl: 0.8320 0.8230 0.4613
Cl: 0.8617 0.3707 0.0387
Cl: 0.8617 0.9911 0.8230
Cl: 0.8707 0.0089 0.3320
Cl: 0.8707 0.3617 0.5387
Cl: 0.9613 0.1383 0.6293
Cl: 0.9613 0.3230 0.3320
Cl: 0.9911 0.6680 0.1293
Cl: 0.9911 0.8230 0.8617